i.
Material: Cd3SiI
Method: DFT, GGA-PBE
State: optimized geometry

Lattice parameters (Å, degrees): 5.884 5.884 5.884 90.00 90.00 90.00
Element x y z (fractional)
Cd 0.000 0.000 0.500
Cd 0.000 0.500 0.000
Cd 0.500 0.000 0.000
Si 0.500 0.500 0.500
I 0.000 0.000 0.000

Summary:
For the magnetic moment, the calculation gives 1.1 Bohr magnetons per cell. The value obtained for the density of states at the Fermi level is 2.23 states/eV/f.u.

***

ii.
Material: Cd3SiI
Method: DFT, GGA-PBE
State: optimized geometry

Lattice parameters (Å, degrees): 5.276 5.276 5.276 90.00 90.00 90.00
Element x y z (fractional)
Cd 0.000 0.000 0.500
Cd 0.000 0.500 0.000
Cd 0.500 0.000 0.000
Si 0.000 0.000 0.000
I 0.500 0.500 0.500

Summary:
For the magnetic moment, the calculation gives 0.0 Bohr magnetons per cell. The value obtained for the density of states at the Fermi level is 1.39 states/eV/f.u.

***

Relative calculated energies, zero for the most stable structure, unit eV/atom: i 1.039; ii 0.000.

***

i.
Material: CdSi2I
Method: DFT, GGA-PBE
State: optimized geometry

Lattice parameters (Å, degrees): 5.030 5.030 5.030 60.00 60.00 60.00
Element x y z (fractional)
Cd 0.000 0.000 0.000
Si 0.250 0.250 0.250
Si 0.750 0.750 0.750
I 0.500 0.500 0.500

Summary:
For the magnetic moment, the calculation gives 0.0 Bohr magnetons per cell. The value obtained for the density of states at the Fermi level is 2.08 states/eV/f.u.

***

ii.
Material: CdSi2I
Method: DFT, GGA-PBE
State: optimized geometry

Lattice parameters (Å, degrees): 7.970 7.970 7.970 134.60 134.60 66.15
Element x y z (fractional)
Cd 0.000 0.000 0.000
Cd 0.750 0.250 0.500
Si 0.077 0.625 0.952
Si 0.375 0.327 0.452
Si 0.673 0.125 0.048
Si 0.875 0.923 0.548
I 0.250 0.750 0.500
I 0.500 0.500 0.000

Summary:
For the magnetic moment, the calculation gives 0.0 Bohr magnetons per cell. The value obtained for the density of states at the Fermi level is 3.43 states/eV/f.u.

***

Relative calculated energies, zero for the most stable structure, unit eV/atom: i 0.039; ii 0.000.

***

i.
Material: CdSn2I
Method: DFT, GGA-PBE
State: optimized geometry

Lattice parameters (Å, degrees): 5.487 5.487 5.487 60.00 60.00 60.00
Element x y z (fractional)
Cd 0.000 0.000 0.000
Sn 0.250 0.250 0.250
Sn 0.750 0.750 0.750
I 0.500 0.500 0.500

Summary:
For the magnetic moment, the calculation gives 0.0 Bohr magnetons per cell. The value obtained for the density of states at the Fermi level is 2.73 states/eV/f.u.

***

ii.
Material: CdSn2I
Method: DFT, GGA-PBE
State: optimized geometry

Lattice parameters (Å, degrees): 8.821 8.821 8.821 135.50 135.50 64.75
Element x y z (fractional)
Cd 0.000 0.000 0.000
Cd 0.750 0.250 0.500
Sn 0.073 0.625 0.948
Sn 0.375 0.323 0.448
Sn 0.677 0.125 0.052
Sn 0.875 0.927 0.552
I 0.250 0.750 0.500
I 0.500 0.500 0.000

Summary:
For the magnetic moment, the calculation gives 0.0 Bohr magnetons per cell. The value obtained for the density of states at the Fermi level is 3.55 states/eV/f.u.

***

Relative calculated energies, zero for the most stable structure, unit eV/atom: i 0.000; ii 0.075.

***

i.
Material: Cd2SnI6
Method: DFT, GGA-PBE
State: optimized geometry

Lattice parameters (Å, degrees): 10.178 10.178 7.955 98.03 98.03 84.88
Element x y z (fractional)
Cd 0.106 0.270 0.327
Cd 0.270 0.106 0.827
Cd 0.730 0.894 0.173
Cd 0.894 0.730 0.673
Sn 0.393 0.607 0.750
Sn 0.607 0.393 0.250
I 0.036 0.213 0.639
I 0.122 0.629 0.879
I 0.213 0.036 0.139
I 0.293 0.470 0.367
I 0.371 0.878 0.621
I 0.470 0.293 0.867
I 0.530 0.707 0.133
I 0.629 0.122 0.379
I 0.707 0.530 0.633
I 0.787 0.964 0.861
I 0.878 0.371 0.121
I 0.964 0.787 0.361

Summary:
For the magnetic moment, the calculation gives 0.0 Bohr magnetons per cell. The value obtained for the density of states at the Fermi level is 0.00 states/eV/f.u.

***

ii.
Material: Cd2SnI6
Method: DFT, GGA-PBE
State: optimized geometry

Lattice parameters (Å, degrees): 4.551 8.653 12.224 71.31 79.35 74.77
Element x y z (fractional)
Cd 0.208 0.313 0.276
Cd 0.792 0.687 0.724
Sn 0.000 0.000 0.000
I 0.141 0.615 0.100
I 0.343 0.733 0.575
I 0.396 0.021 0.189
I 0.604 0.979 0.811
I 0.657 0.267 0.425
I 0.859 0.385 0.900

Summary:
For the magnetic moment, the calculation gives 0.0 Bohr magnetons per cell. The value obtained for the density of states at the Fermi level is 0.00 states/eV/f.u.

***

Relative calculated energies, zero for the most stable structure, unit eV/atom: i 0.000; ii 0.031.

***

i.
Material: SrCdI3
Method: DFT, GGA-PBE
State: optimized geometry

Lattice parameters (Å, degrees): 6.413 6.413 6.413 90.00 90.00 90.00
Element x y z (fractional)
Sr 0.000 0.000 0.000
Cd 0.500 0.500 0.500
I 0.000 0.000 0.500
I 0.000 0.500 0.000
I 0.500 0.000 0.000

Summary:
For the magnetic moment, the calculation gives 1.0 Bohr magnetons per cell. The value obtained for the density of states at the Fermi level is 2.91 states/eV/f.u.

***

ii.
Material: SrCdI3
Method: DFT, GGA-PBE
State: optimized geometry

Lattice parameters (Å, degrees): 5.939 5.939 5.939 90.00 90.00 90.00
Element x y z (fractional)
Sr 0.000 0.000 0.000
Cd 0.500 0.500 0.500
I 0.000 0.500 0.500
I 0.500 0.000 0.500
I 0.500 0.500 0.000

Summary:
For the magnetic moment, the calculation gives 0.0 Bohr magnetons per cell. The value obtained for the density of states at the Fermi level is 1.92 states/eV/f.u.

***

Relative calculated energies, zero for the most stable structure, unit eV/atom: i 0.000; ii 0.046.

***

i.
Material: SrCd3I
Method: DFT, GGA-PBE
State: optimized geometry

Lattice parameters (Å, degrees): 6.561 6.561 6.561 90.00 90.00 90.00
Element x y z (fractional)
Sr 0.000 0.000 0.000
Cd 0.000 0.000 0.500
Cd 0.000 0.500 0.000
Cd 0.500 0.000 0.000
I 0.500 0.500 0.500

Summary:
For the magnetic moment, the calculation gives 0.0 Bohr magnetons per cell. The value obtained for the density of states at the Fermi level is 2.29 states/eV/f.u.

***

ii.
Material: SrCd3I
Method: DFT, GGA-PBE
State: optimized geometry

Lattice parameters (Å, degrees): 6.060 6.060 6.060 90.00 90.00 90.00
Element x y z (fractional)
Sr 0.000 0.000 0.000
Cd 0.000 0.500 0.500
Cd 0.500 0.000 0.500
Cd 0.500 0.500 0.000
I 0.500 0.500 0.500

Summary:
For the magnetic moment, the calculation gives 0.0 Bohr magnetons per cell. The value obtained for the density of states at the Fermi level is 4.76 states/eV/f.u.

***

Relative calculated energies, zero for the most stable structure, unit eV/atom: i 0.000; ii 0.101.

***

i.
Material: SrCdI4
Method: DFT, GGA-PBE
State: optimized geometry

Lattice parameters (Å, degrees): 9.067 9.067 9.067 107.10 107.10 114.33
Element x y z (fractional)
Sr 0.375 0.625 0.750
Sr 0.625 0.375 0.250
Cd 0.125 0.875 0.250
Cd 0.875 0.125 0.750
I 0.112 0.674 0.437
I 0.263 0.326 0.937
I 0.326 0.263 0.437
I 0.326 0.888 0.063
I 0.674 0.112 0.937
I 0.674 0.737 0.563
I 0.737 0.674 0.063
I 0.888 0.326 0.563

Summary:
For the magnetic moment, the calculation gives 0.0 Bohr magnetons per cell. The value obtained for the density of states at the Fermi level is 0.00 states/eV/f.u.

***

ii.
Material: SrCdI4
Method: DFT, GGA-PBE
State: optimized geometry

Lattice parameters (Å, degrees): 7.624 4.541 7.974 90.00 92.61 90.00
Element x y z (fractional)
Sr 0.000 0.000 0.000
Cd 0.000 0.500 0.500
I 0.226 0.000 0.364
I 0.238 0.500 0.820
I 0.762 0.500 0.180
I 0.774 0.000 0.636

Summary:
For the magnetic moment, the calculation gives 0.0 Bohr magnetons per cell. The value obtained for the density of states at the Fermi level is 0.00 states/eV/f.u.

***

Relative calculated energies, zero for the most stable structure, unit eV/atom: i 0.025; ii 0.000.

***

i.
Material: SrCd2I
Method: DFT, GGA-PBE
State: optimized geometry

Lattice parameters (Å, degrees): 5.862 5.862 5.862 60.00 60.00 60.00
Element x y z (fractional)
Sr 0.000 0.000 0.000
Cd 0.250 0.250 0.250
Cd 0.750 0.750 0.750
I 0.500 0.500 0.500

Summary:
For the magnetic moment, the calculation gives 0.0 Bohr magnetons per cell. The value obtained for the density of states at the Fermi level is 2.43 states/eV/f.u.

***

ii.
Material: SrCd2I
Method: DFT, GGA-PBE
State: optimized geometry

Lattice parameters (Å, degrees): 7.460 7.460 7.460 100.82 100.82 128.65
Element x y z (fractional)
Sr 0.000 0.000 0.000
Sr 0.750 0.250 0.500
Cd 0.124 0.125 0.499
Cd 0.375 0.876 0.001
Cd 0.626 0.625 0.501
Cd 0.875 0.374 0.999
I 0.250 0.750 0.500
I 0.500 0.500 0.000

Summary:
For the magnetic moment, the calculation gives 0.0 Bohr magnetons per cell. The value obtained for the density of states at the Fermi level is 2.02 states/eV/f.u.

***

Relative calculated energies, zero for the most stable structure, unit eV/atom: i 0.194; ii 0.000.

***

i.
Material: SrCdTeI2
Method: DFT, GGA-PBE
State: optimized geometry

Lattice parameters (Å, degrees): 6.362 6.362 6.642 90.00 90.00 90.00
Element x y z (fractional)
Sr 0.000 0.000 0.000
Cd 0.500 0.500 0.500
Te 0.000 0.000 0.500
I 0.000 0.500 0.000
I 0.500 0.000 0.000

Summary:
For the magnetic moment, the calculation gives 1.7 Bohr magnetons per cell. The value obtained for the density of states at the Fermi level is 6.69 states/eV/f.u.

***

ii.
Material: SrCdTeI2
Method: DFT, GGA-PBE
State: optimized geometry

Lattice parameters (Å, degrees): 6.274 6.274 7.240 90.00 90.00 90.00
Element x y z (fractional)
Sr 0.000 0.000 0.000
Cd 0.000 0.000 0.500
Te 0.500 0.500 0.500
I 0.000 0.500 0.000
I 0.500 0.000 0.000

Summary:
For the magnetic moment, the calculation gives 2.0 Bohr magnetons per cell. The value obtained for the density of states at the Fermi level is 4.73 states/eV/f.u.

***

Relative calculated energies, zero for the most stable structure, unit eV/atom: i 0.000; ii 0.147.

***

i.
Material: Ta3CdI
Method: DFT, GGA-PBE
State: optimized geometry

Lattice parameters (Å, degrees): 5.066 5.066 5.066 90.00 90.00 90.00
Element x y z (fractional)
Ta 0.000 0.000 0.500
Ta 0.000 0.500 0.000
Ta 0.500 0.000 0.000
Cd 0.000 0.000 0.000
I 0.500 0.500 0.500

Summary:
For the magnetic moment, the calculation gives 0.0 Bohr magnetons per cell. The value obtained for the density of states at the Fermi level is 9.70 states/eV/f.u.

***

ii.
Material: Ta3CdI
Method: DFT, GGA-PBE
State: optimized geometry

Lattice parameters (Å, degrees): 5.007 5.007 5.007 90.00 90.00 90.00
Element x y z (fractional)
Ta 0.000 0.000 0.500
Ta 0.000 0.500 0.000
Ta 0.500 0.000 0.000
Cd 0.500 0.500 0.500
I 0.000 0.000 0.000

Summary:
For the magnetic moment, the calculation gives 0.0 Bohr magnetons per cell. The value obtained for the density of states at the Fermi level is 6.97 states/eV/f.u.

***

Relative calculated energies, zero for the most stable structure, unit eV/atom: i 0.281; ii 0.000.

***

i.
Material: Ta2CdI2
Method: DFT, GGA-PBE
State: optimized geometry

Lattice parameters (Å, degrees): 8.459 8.459 3.165 90.00 90.00 90.00
Element x y z (fractional)
Ta 0.170 0.330 0.000
Ta 0.330 0.830 0.000
Ta 0.670 0.170 0.000
Ta 0.830 0.670 0.000
Cd 0.000 0.000 0.500
Cd 0.500 0.500 0.500
I 0.134 0.634 0.500
I 0.366 0.134 0.500
I 0.634 0.866 0.500
I 0.866 0.366 0.500

Summary:
For the magnetic moment, the calculation gives 0.0 Bohr magnetons per cell. The value obtained for the density of states at the Fermi level is 4.65 states/eV/f.u.

***

ii.
Material: Ta2CdI2
Method: DFT, GGA-PBE
State: optimized geometry

Lattice parameters (Å, degrees): 10.561 10.561 10.561 158.63 158.63 30.40
Element x y z (fractional)
Ta 0.250 0.750 0.500
Ta 0.750 0.250 0.500
Cd 0.000 0.000 0.000
I 0.357 0.357 0.000
I 0.643 0.643 0.000

Summary:
For the magnetic moment, the calculation gives 0.0 Bohr magnetons per cell. The value obtained for the density of states at the Fermi level is 4.32 states/eV/f.u.

***

Relative calculated energies, zero for the most stable structure, unit eV/atom: i 0.647; ii 0.000.

***

i.
Material: CdTcI3
Method: DFT, GGA-PBE
State: optimized geometry

Lattice parameters (Å, degrees): 5.865 5.865 5.865 90.00 90.00 90.00
Element x y z (fractional)
Cd 0.000 0.000 0.000
Tc 0.500 0.500 0.500
I 0.000 0.000 0.500
I 0.000 0.500 0.000
I 0.500 0.000 0.000

Summary:
For the magnetic moment, the calculation gives 5.8 Bohr magnetons per cell. The value obtained for the density of states at the Fermi level is 5.93 states/eV/f.u.

***

ii.
Material: CdTcI3
Method: DFT, GGA-PBE
State: optimized geometry

Lattice parameters (Å, degrees): 5.586 5.586 5.586 90.00 90.00 90.00
Element x y z (fractional)
Cd 0.000 0.000 0.000
Tc 0.500 0.500 0.500
I 0.000 0.500 0.500
I 0.500 0.000 0.500
I 0.500 0.500 0.000

Summary:
For the magnetic moment, the calculation gives 2.9 Bohr magnetons per cell. The value obtained for the density of states at the Fermi level is 3.97 states/eV/f.u.

***

Relative calculated energies, zero for the most stable structure, unit eV/atom: i 0.461; ii 0.000.